Material: Er2Tm6Pb
Method: DFT, PBE-GGA
State: relaxed

Output
Its formation energy is -0.32 eV per formula unit. As for the magnetic moment: 0.00 μB per formula unit.

abc: 16.6801 3.4884 11.4861
angles: 90.00 125.42 90.00
With the nearest neighbours (Å) after each atom.
Space group C2/m (No. 12)
One atom of each set of equivalent atoms:
Er: 0.1716 0.0000 0.3258 (multiplicity 4)  5 Tm 3.29-3.56, 2 Er 3.49, 2 Pb 3.58
Tm: 0.0512 0.5000 0.7543 (multiplicity 4)  9 Tm 3.37-3.54, 1 Pb 3.39, 2 Er 3.71
Tm: 0.1112 0.0000 0.5525 (multiplicity 4)  8 Tm 3.17-3.49, 3 Er 3.29-3.50
Tm: 0.2263 0.5000 0.1092 (multiplicity 4)  8 Tm 3.20-3.54, 1 Pb 3.22, 2 Er 3.56
Pb: 0.0000 0.5000 0.0000 (multiplicity 2)  4 Tm 3.22-3.39, 2 Pb 3.49, 4 Er 3.58